Entry 1:
# VZn2Fe

A relaxed VZn2Fe crystal (PBE-GGA, Alexandria).

Cell and atoms, written as POSCAR:
```
VZn2Fe
1.0
2.571 0.000 0.000
0.000 2.571 0.000
0.000 0.000 7.949
Zn Fe V
2 1 1
direct
0.000 0.000 0.741
0.000 0.000 0.259
0.500 0.500 0.500
0.500 0.500 0.000
```

## Properties
Its total magnetization is 2.297 μB per cell. The calculation puts the offset from the most stable computed form at 55 meV per atom. The formation energy is 0.011 eV/atom.

***

Entry 2:
# Tm5Si10Ir4

A relaxed Tm5Si10Ir4 crystal (PBE-GGA, Alexandria).

Cell and atoms, written as POSCAR:
```
Tm5Si10Ir4
1.0
12.580 0.000 0.000
0.000 12.580 0.000
0.000 0.000 4.223
Tm Si Ir
10 20 8
direct
0.500 0.500 0.000
0.000 0.000 0.000
0.675 0.175 0.500
0.325 0.825 0.500
0.175 0.325 0.500
0.825 0.675 0.500
0.885 0.385 0.500
0.115 0.615 0.500
0.385 0.115 0.500
0.615 0.885 0.500
0.566 0.066 0.000
0.434 0.934 0.000
0.066 0.434 0.000
0.934 0.566 0.000
0.665 0.701 0.000
0.335 0.299 0.000
0.165 0.799 0.000
0.835 0.201 0.000
0.299 0.665 0.000
0.701 0.335 0.000
0.201 0.165 0.000
0.799 0.835 0.000
0.656 0.503 0.500
0.344 0.497 0.500
0.156 0.997 0.500
0.844 0.003 0.500
0.497 0.656 0.500
0.503 0.344 0.500
0.003 0.156 0.500
0.997 0.844 0.500
0.745 0.520 0.000
0.255 0.480 0.000
0.245 0.980 0.000
0.755 0.020 0.000
0.480 0.745 0.000
0.520 0.255 0.000
0.020 0.245 0.000
0.980 0.755 0.000
```

## Properties
Its total magnetization is 0.000 μB per cell. The calculation puts the uncorrected formation energy at -16.9 eV/f.u.

***

Entry 3:
# Co5Ir5Os2

A relaxed Co5Ir5Os2 crystal (PBE-GGA, Alexandria).

Cell and atoms, written as POSCAR:
```
Co5Ir5Os2
1.0
3.628 -0.003 0.769
1.610 5.496 1.363
0.214 0.498 7.943
Co Ir Os
5 5 2
direct
0.834 0.831 0.502
0.256 0.747 0.741
0.744 0.253 0.259
0.166 0.169 0.498
0.000 0.000 0.000
0.500 0.500 0.500
0.333 0.332 0.002
0.411 0.925 0.253
0.589 0.075 0.747
0.667 0.668 0.998
0.917 0.415 0.751
0.083 0.585 0.249
```

## Properties
Its total magnetization is 2.791 μB per cell. The formation energy is 0.066 eV/atom.

***

Entry 4:
# Pr4SmErTm2

A relaxed Pr4SmErTm2 crystal (PBE-GGA, Alexandria).

Cell and atoms, written as POSCAR:
```
Pr4SmErTm2
1.0
5.174 0.000 0.000
0.000 4.999 1.249
0.000 2.565 11.004
Pr Sm Er Tm
4 1 1 2
direct
0.000 0.752 0.748
0.000 0.248 0.252
0.500 0.747 0.252
0.500 0.253 0.748
0.500 0.500 0.000
0.000 0.500 0.500
0.000 0.000 0.000
0.500 0.000 0.500
```

## Properties
Its total magnetization is 0.001 μB per cell. The formation energy is 0.016 eV/atom.

***

Entry 5:
# ZrPOs2F

A relaxed ZrPOs2F crystal (PBE-GGA, Alexandria).

Cell and atoms, written as POSCAR:
```
ZrPOs2F
1.0
4.293 0.000 0.000
0.000 4.283 0.000
0.000 0.000 4.293
P Os Zr F
1 2 1 1
direct
0.500 0.500 0.500
0.000 0.000 0.500
0.500 0.000 0.000
0.000 0.500 0.000
0.000 0.000 0.000
```

## Properties
Its total magnetization is 0.000 μB per cell. The calculation puts the uncorrected formation energy at 3.9 eV/f.u.

***

Entry 6:
# TiVNiMo

A relaxed TiVNiMo crystal (PBE-GGA, Alexandria).

Cell and atoms, written as POSCAR:
```
TiVNiMo
1.0
-2.641 -3.019 -1.534
1.570 -3.804 -1.227
-0.825 -3.515 2.326
Ni Mo Ti V
1 1 1 1
direct
0.250 0.250 0.250
0.750 0.750 0.750
0.000 0.000 0.000
0.500 0.500 0.500
```

## Properties
Its total magnetization is 0.033 μB per cell. The formation energy is -0.170 eV/atom.

***

Entry 7:
# RbAlPb2Au

A relaxed RbAlPb2Au crystal (PBE-GGA, Alexandria).

Cell and atoms, written as POSCAR:
```
RbAlPb2Au
1.0
-3.823 -3.304 -1.834
2.617 -5.220 3.949
-3.208 1.461 4.057
Pb Au Al Rb
2 1 1 1
direct
0.000 0.000 0.500
0.500 0.000 0.000
0.500 0.500 0.500
0.000 0.000 0.000
0.000 0.500 0.000
```

## Properties
Its total magnetization is 0.000 μB per cell. The formation energy is 0.453 eV/atom.

***

Entry 8:
# Cs3H4Br4

A relaxed Cs3H4Br4 crystal (PBE-GGA, Alexandria).

Cell and atoms, written as POSCAR:
```
Cs3H4Br4
1.0
5.626 0.000 -1.549
-0.859 6.939 -3.119
-0.201 0.365 10.262
Cs H Br
3 4 4
direct
0.198 0.198 0.395
0.802 0.802 0.605
0.000 0.500 0.000
0.406 0.105 0.812
0.594 0.293 0.188
0.594 0.895 0.188
0.406 0.707 0.812
0.193 0.693 0.387
0.807 0.307 0.613
0.500 0.783 0.000
0.500 0.217 0.000
```

## Properties
Its total magnetization is 1.001 μB per cell. As for the raw total energy: -27.97 eV for the cell shown.